! Y2GaB2, optimized geometry, DFT PBE; values from VASP
&SYSTEM
  ibrav = 0, nat = 10, ntyp = 3
/
ATOMIC_SPECIES
Y 88.91 Y.upf
Ga 69.72 Ga.upf
B 10.81 B.upf
CELL_PARAMETERS angstrom
7.530 0.000 0.000
0.000 7.530 0.000
0.000 0.000 3.528
ATOMIC_POSITIONS angstrom
Y 1.327 2.438 0.000
Y 2.438 6.203 0.000
Y 5.092 1.327 0.000
Y 6.203 5.092 0.000
Ga 0.000 0.000 0.000
Ga 3.765 3.765 0.000
B 0.562 4.327 1.764
B 3.203 0.562 1.764
B 4.327 6.968 1.764
B 6.968 3.203 1.764
! Energy relative to the elements: 0.16 eV/atom
! N(E_F): 6.43 states/eV/cell
! Spin magnetization: 0.0 μB per cell
! Offset from the most stable computed form: 522 meV per atom



! YGaB3, optimized geometry, DFT PBE; values from VASP
&SYSTEM
  ibrav = 0, nat = 5, ntyp = 3
/
ATOMIC_SPECIES
Y 88.91 Y.upf
Ga 69.72 Ga.upf
B 10.81 B.upf
CELL_PARAMETERS angstrom
4.773 0.000 0.000
0.000 4.773 0.000
0.000 0.000 4.773
ATOMIC_POSITIONS angstrom
Y 0.000 0.000 0.000
Ga 2.386 2.386 2.386
B 0.000 0.000 2.386
B 0.000 2.386 0.000
B 2.386 0.000 0.000
! Energy relative to the elements: 2.17 eV/atom
! N(E_F): 4.83 states/eV/cell
! Spin magnetization: 0.0 μB per cell
! Offset from the most stable computed form: 1130 meV per atom



! YGaB3, optimized geometry, DFT PBE; values from VASP
&SYSTEM
  ibrav = 0, nat = 5, ntyp = 3
/
ATOMIC_SPECIES
Y 88.91 Y.upf
Ga 69.72 Ga.upf
B 10.81 B.upf
CELL_PARAMETERS angstrom
4.140 0.000 0.000
0.000 4.140 0.000
0.000 0.000 4.140
ATOMIC_POSITIONS angstrom
Y 0.000 0.000 0.000
Ga 2.070 2.070 2.070
B 0.000 2.070 2.070
B 2.070 0.000 2.070
B 2.070 2.070 0.000
! Energy relative to the elements: 1.04 eV/atom
! N(E_F): 2.19 states/eV/cell
! Spin magnetization: 0.0 μB per cell
! Offset from the most stable computed form: 0 meV per atom



! ZnGaB, optimized geometry, DFT PBE; values from VASP
&SYSTEM
  ibrav = 0, nat = 6, ntyp = 3
/
ATOMIC_SPECIES
Zn 65.41 Zn.upf
Ga 69.72 Ga.upf
B 10.81 B.upf
CELL_PARAMETERS angstrom
3.826 0.000 0.000
-1.913 3.314 0.000
0.000 0.000 7.769
ATOMIC_POSITIONS angstrom
Zn 0.000 2.209 1.942
Zn 1.913 1.105 5.827
Ga 0.000 0.000 0.000
Ga 0.000 0.000 3.885
B 0.000 0.000 1.942
B 0.000 0.000 5.827
! Energy relative to the elements: 0.48 eV/atom
! N(E_F): 1.93 states/eV/cell
! Spin magnetization: 0.0 μB per cell



! ZnGaB, optimized geometry, DFT PBE; values from VASP
&SYSTEM
  ibrav = 0, nat = 6, ntyp = 3
/
ATOMIC_SPECIES
Zn 65.41 Zn.upf
Ga 69.72 Ga.upf
B 10.81 B.upf
CELL_PARAMETERS angstrom
3.633 0.000 0.000
-1.816 3.146 0.000
0.000 0.000 7.246
ATOMIC_POSITIONS angstrom
Zn 0.000 0.000 0.000
Zn 0.000 0.000 3.623
Ga 0.000 2.097 1.812
Ga 1.816 1.049 5.435
B 0.000 2.097 5.435
B 1.816 1.049 1.812
! Energy relative to the elements: 0.57 eV/atom
! N(E_F): 1.42 states/eV/cell
! Spin magnetization: 0.0 μB per cell



! ZnGaB, optimized geometry, DFT PBE; values from VASP
&SYSTEM
  ibrav = 0, nat = 6, ntyp = 3
/
ATOMIC_SPECIES
Zn 65.41 Zn.upf
Ga 69.72 Ga.upf
B 10.81 B.upf
CELL_PARAMETERS angstrom
3.100 0.000 0.000
-0.001 3.384 0.000
-0.700 -1.688 8.842
ATOMIC_POSITIONS angstrom
Zn 0.000 0.000 0.000
Zn 0.537 1.708 3.728
Ga 1.746 0.017 2.141
Ga 2.266 1.698 5.851
B 0.229 0.006 7.468
B 1.795 0.007 7.282
! Energy relative to the elements: 0.25 eV/atom
! N(E_F): 1.26 states/eV/cell
! Spin magnetization: 0.0 μB per cell



! ZnGaB, optimized geometry, DFT PBE; values from VASP
&SYSTEM
  ibrav = 0, nat = 6, ntyp = 3
/
ATOMIC_SPECIES
Zn 65.41 Zn.upf
Ga 69.72 Ga.upf
B 10.81 B.upf
CELL_PARAMETERS angstrom
3.429 0.000 0.000
0.036 4.860 0.000
0.141 0.650 5.204
ATOMIC_POSITIONS angstrom
Zn 0.000 0.000 0.000
Zn 1.262 2.922 1.748
Ga 0.161 3.050 4.185
Ga 3.444 5.090 2.665
B 1.712 0.678 1.414
B 1.736 1.600 0.067
! Energy relative to the elements: 0.31 eV/atom
! N(E_F): 1.17 states/eV/cell
! Spin magnetization: 0.0 μB per cell



! ZnGaB, optimized geometry, DFT PBE; values from VASP
&SYSTEM
  ibrav = 0, nat = 6, ntyp = 3
/
ATOMIC_SPECIES
Zn 65.41 Zn.upf
Ga 69.72 Ga.upf
B 10.81 B.upf
CELL_PARAMETERS angstrom
3.456 0.000 0.000
-1.726 3.520 0.000
-0.131 -1.792 7.210
ATOMIC_POSITIONS angstrom
Zn 0.000 0.000 0.000
Zn -0.026 2.554 3.283
Ga -0.109 0.222 5.211
Ga 1.678 1.313 1.771
B 1.624 -1.172 5.420
B 1.597 -0.371 6.860
! Energy relative to the elements: 0.30 eV/atom
! N(E_F): 1.11 states/eV/cell
! Spin magnetization: 0.0 μB per cell



! ZnGa2B, optimized geometry, DFT PBE; values from VASP
&SYSTEM
  ibrav = 0, nat = 16, ntyp = 3
/
ATOMIC_SPECIES
Zn 65.41 Zn.upf
Ga 69.72 Ga.upf
B 10.81 B.upf
CELL_PARAMETERS angstrom
5.643 0.000 0.000
0.000 5.643 0.000
0.000 0.000 9.684
ATOMIC_POSITIONS angstrom
Zn 0.000 0.000 0.000
Zn 0.000 2.822 2.421
Zn 2.822 0.000 7.263
Zn 2.822 2.822 4.842
Ga 0.848 1.411 6.052
Ga 1.411 3.670 8.473
Ga 1.411 4.795 3.631
Ga 1.973 1.411 1.210
Ga 3.670 4.232 1.210
Ga 4.232 0.848 3.631
Ga 4.232 1.973 8.473
Ga 4.795 4.232 6.052
B 0.000 0.000 4.842
B 0.000 2.822 7.263
B 2.822 0.000 2.421
B 2.822 2.822 0.000
! Energy relative to the elements: 0.46 eV/atom
! N(E_F): 10.45 states/eV/cell
! Spin magnetization: 0.0 μB per cell
! Offset from the most stable computed form: 0 meV per atom



! ZnGaB, optimized geometry, DFT PBE; values from VASP
&SYSTEM
  ibrav = 0, nat = 6, ntyp = 3
/
ATOMIC_SPECIES
Zn 65.41 Zn.upf
Ga 69.72 Ga.upf
B 10.81 B.upf
CELL_PARAMETERS angstrom
3.058 0.000 0.000
-1.528 2.661 0.000
0.000 -0.787 10.254
ATOMIC_POSITIONS angstrom
Zn 0.000 0.000 0.000
Zn 0.002 1.809 4.171
Ga 0.010 1.856 6.639
Ga 1.526 0.831 2.082
B 0.010 0.084 8.192
B 1.539 0.974 8.189
! Energy relative to the elements: 0.18 eV/atom
! N(E_F): 1.66 states/eV/cell
! Spin magnetization: 0.0 μB per cell



! ZnGaB, optimized geometry, DFT PBE; values from VASP
&SYSTEM
  ibrav = 0, nat = 6, ntyp = 3
/
ATOMIC_SPECIES
Zn 65.41 Zn.upf
Ga 69.72 Ga.upf
B 10.81 B.upf
CELL_PARAMETERS angstrom
3.132 0.000 0.000
0.782 4.888 0.000
1.106 0.759 5.761
ATOMIC_POSITIONS angstrom
Zn 0.000 0.000 0.000
Zn 1.895 1.336 2.258
Ga 2.516 2.858 5.425
Ga 3.941 4.444 3.764
B 1.413 3.385 1.660
B 2.979 3.908 1.834
! Energy relative to the elements: 0.28 eV/atom
! N(E_F): 1.42 states/eV/cell
! Spin magnetization: 0.0 μB per cell



! ZnGa2B, optimized geometry, DFT PBE; values from VASP
&SYSTEM
  ibrav = 0, nat = 16, ntyp = 3
/
ATOMIC_SPECIES
Zn 65.41 Zn.upf
Ga 69.72 Ga.upf
B 10.81 B.upf
CELL_PARAMETERS angstrom
6.209 0.000 0.000
0.000 6.209 0.000
0.000 0.000 6.209
ATOMIC_POSITIONS angstrom
Zn 0.000 0.000 0.000
Zn 0.000 3.104 3.104
Zn 3.104 0.000 3.104
Zn 3.104 3.104 0.000
Ga 1.552 1.552 1.552
Ga 1.552 1.552 4.656
Ga 1.552 4.656 1.552
Ga 1.552 4.656 4.656
Ga 4.656 1.552 1.552
Ga 4.656 1.552 4.656
Ga 4.656 4.656 1.552
Ga 4.656 4.656 4.656
B 0.000 0.000 3.104
B 0.000 3.104 0.000
B 3.104 0.000 0.000
B 3.104 3.104 3.104
! Energy relative to the elements: 0.75 eV/atom
! N(E_F): 9.16 states/eV/cell
! Spin magnetization: 0.0 μB per cell
! Offset from the most stable computed form: 286 meV per atom



| no. | raw total energy (eV/atom) |
| --- | --- |
| 1 | -5.70 |
| 2 | -3.73 |
| 3 | -4.86 |
| 4 | -3.18 |
| 5 | -3.09 |
| 6 | -3.41 |
| 7 | -3.34 |
| 8 | -3.36 |
| 9 | -3.04 |
| 10 | -3.48 |
| 11 | -3.38 |
| 12 | -2.75 |